Record 1
{
  "formula": "RbUNi2Se4",
  "functional": "PBE",
  "state": "relaxed",
  "lattice_angstrom": [[5.134, 0.000, 0.000], [2.567, 6.894, 0.138], [2.567, 0.703, 6.860]],
  "species": ["Rb", "U", "Ni", "Ni", "Se", "Se", "Se", "Se"],
  "fractional_positions": [[0.000, 0.000, 0.000], [0.500, 0.500, 0.500], [0.118, 0.382, 0.382], [0.882, 0.618, 0.618], [0.438, 0.148, 0.528], [0.114, 0.852, 0.472], [0.886, 0.528, 0.148], [0.562, 0.472, 0.852]],
  "space_group": "I222 (23)",
  "dos_ef_per_ev_atom": 0.292,
  "final_energy_ev_per_atom": -5.199
}

Record 2
{
  "formula": "YTlZnH2",
  "functional": "PBE",
  "state": "relaxed",
  "lattice_angstrom": [[-1.896, -1.405, -3.414], [-3.868, -3.382, 3.540], [-2.648, 3.192, 0.157]],
  "species": ["Y", "H", "H", "Tl", "Zn"],
  "fractional_positions": [[0.000, 0.500, 0.000], [0.000, 0.000, 0.500], [0.500, 0.000, 0.000], [0.000, 0.000, 0.000], [0.500, 0.500, 0.500]],
  "space_group": "P4/mmm (123)",
  "dos_ef_per_ev_atom": 0.736,
  "final_energy_ev_per_atom": -2.785
}

Record 3
{
  "formula": "UCdIrRu",
  "functional": "PBE",
  "state": "relaxed",
  "lattice_angstrom": [[4.698, 0.000, 0.000], [2.349, 4.068, 0.000], [2.349, 1.356, 3.836]],
  "species": ["Ru", "Ir", "U", "Cd"],
  "fractional_positions": [[0.750, 0.750, 0.750], [0.250, 0.250, 0.250], [0.500, 0.500, 0.500], [0.000, 0.000, 0.000]],
  "space_group": "F-43m (216)",
  "dos_ef_per_ev_atom": 1.457,
  "final_energy_ev_per_atom": -7.723,
  "formation_energy_ev_per_atom": -0.1375
}

Record 4
{
  "formula": "SrLaBr4",
  "functional": "PBE",
  "state": "relaxed",
  "lattice_angstrom": [[0.000, 4.601, 4.601], [4.601, 0.000, 4.601], [4.601, 4.601, 0.000]],
  "species": ["Sr", "La", "Br", "Br", "Br", "Br"],
  "fractional_positions": [[0.000, 0.000, 0.000], [0.750, 0.750, 0.750], [0.875, 0.375, 0.375], [0.375, 0.375, 0.875], [0.375, 0.875, 0.375], [0.375, 0.375, 0.375]],
  "space_group": "F-43m (216)",
  "dos_ef_per_ev_atom": 1.319,
  "final_energy_ev_per_atom": -2.808
}

Record 5
{
  "formula": "Sr2CoW",
  "functional": "PBE",
  "state": "relaxed",
  "lattice_angstrom": [[3.038, 0.000, 0.000], [0.000, 4.879, 0.000], [0.000, 0.000, 6.383]],
  "species": ["Co", "Sr", "Sr", "W"],
  "fractional_positions": [[0.500, 0.500, 0.750], [0.000, 0.000, 0.995], [0.000, 0.000, 0.505], [0.500, 0.500, 0.250]],
  "space_group": "Pmmm (47)",
  "dos_ef_per_ev_atom": 1.096,
  "final_energy_ev_per_atom": -4.556,
  "relative_energy_ev_per_atom": 0.7108,
  "formation_energy_ev_per_atom": 1.2999
}

Record 6
{
  "formula": "TbCeMg2Hg2",
  "functional": "PBE",
  "state": "relaxed",
  "lattice_angstrom": [[-2.315, 3.916, -2.233], [1.920, -3.750, -2.817], [-5.757, -3.206, 0.345]],
  "species": ["Tb", "Ce", "Mg", "Mg", "Hg", "Hg"],
  "fractional_positions": [[0.000, 0.000, 0.500], [0.000, 0.000, 0.000], [0.333, 0.667, 0.747], [0.667, 0.333, 0.253], [0.333, 0.667, 0.248], [0.667, 0.333, 0.752]],
  "space_group": "P-3m1 (164)",
  "dos_ef_per_ev_atom": 1.282,
  "final_energy_ev_per_atom": -2.694,
  "formation_energy_ev_per_atom": -0.3011
}

Record 7
{
  "formula": "PuCd11Ag",
  "functional": "PBE",
  "state": "relaxed",
  "lattice_angstrom": [[5.394, 0.027, 2.247], [2.666, 7.110, 1.111], [-0.037, 0.014, 7.687]],
  "species": ["Pu", "Cd", "Cd", "Cd", "Cd", "Cd", "Cd", "Cd", "Cd", "Cd", "Cd", "Cd", "Ag"],
  "fractional_positions": [[0.000, 0.000, 0.000], [0.294, 0.214, 0.210], [0.706, 0.786, 0.790], [0.496, 0.786, 0.210], [0.504, 0.214, 0.790], [0.356, 0.646, 0.653], [0.644, 0.354, 0.347], [0.991, 0.354, 0.653], [0.009, 0.646, 0.347], [0.000, 0.500, 0.000], [0.500, 0.000, 0.500], [0.000, 0.000, 0.500], [0.500, 0.500, 0.000]],
  "space_group": "C2/m (12)",
  "dos_ef_per_ev_atom": 1.479,
  "final_energy_ev_per_atom": -2.123,
  "formation_energy_ev_per_atom": -0.0269
}

Record 8
{
  "formula": "Ac2GeN",
  "functional": "PBE",
  "state": "relaxed",
  "lattice_angstrom": [[3.435, 0.000, 0.000], [0.000, 3.435, 0.000], [0.000, 0.000, 7.786]],
  "species": ["Ac", "Ac", "Ge", "N"],
  "fractional_positions": [[0.000, 0.000, 0.794], [0.000, 0.000, 0.206], [0.500, 0.500, 0.500], [0.500, 0.500, 0.000]],
  "space_group": "P4/mmm (123)",
  "dos_ef_per_ev_atom": 0.424,
  "final_energy_ev_per_atom": -5.748,
  "relative_energy_ev_per_atom": 0.3174
}